1.
The following is a DFT calculation (PBE) of an optimized crystal structure of K3Tl2Ag4.

Crystal system ... monoclinic
E_tot ... -2.18 eV/atom

a = 6.720 Å, b = 6.720 Å, c = 9.618 Å
α = 104.62°, β = 104.62°, γ = 43.58°
Fractional positions:
K  0.000  0.000  0.000
K  0.380  0.380  0.629
K  0.620  0.620  0.371
Tl  0.306  0.306  0.241
Tl  0.694  0.694  0.759
Ag  0.084  0.084  0.632
Ag  0.248  0.248  0.921
Ag  0.752  0.752  0.079
Ag  0.916  0.916  0.368

=====

2.
The following is a DFT calculation (PBE) of an optimized crystal structure of K3Tl2Ag3.

Crystal system ... orthorhombic
E_tot ... -2.07 eV/atom

a = 6.547 Å, b = 6.547 Å, c = 17.268 Å
α = 90.00°, β = 90.00°, γ = 136.87°
Fractional positions:
K  0.122  0.878  0.750
K  0.151  0.849  0.550
K  0.151  0.849  0.950
K  0.849  0.151  0.050
K  0.849  0.151  0.450
K  0.878  0.122  0.250
Tl  0.160  0.840  0.157
Tl  0.160  0.840  0.343
Tl  0.840  0.160  0.657
Tl  0.840  0.160  0.843
Ag  0.411  0.589  0.750
Ag  0.453  0.547  0.582
Ag  0.453  0.547  0.918
Ag  0.547  0.453  0.082
Ag  0.547  0.453  0.418
Ag  0.589  0.411  0.250

=====

no.,DFT formation energy (eV per formula unit),M_tot (μB per atom)
1,-0.2,0.00
2,0.0,0.00